[1]
{"formula": "PmScIn", "functional": "PBE", "state": "optimized geometry", "lattice": [[0.000, 3.605, 3.605], [3.605, 0.000, 3.605], [3.605, 3.605, 0.000]], "species": ["Sc", "In", "Pm"], "frac_coords": [[0.750, 0.750, 0.750], [0.000, 0.000, 0.000], [0.250, 0.250, 0.250]], "m_tot_mub_per_atom": 0.201, "crystal_system": "cubic"}



[2]
{"formula": "YTm2Zn3PdPt2", "functional": "PBE", "state": "optimized geometry", "lattice": [[3.836, 0.000, 0.000], [0.000, 6.307, 3.613], [0.000, -6.307, 3.613]], "species": ["Zn", "Y", "Pd", "Tm", "Pt", "Tm", "Zn", "Pt", "Zn"], "frac_coords": [[0.500, 0.000, 0.748], [0.000, 0.592, 0.592], [0.000, 0.004, 0.004], [0.000, 0.405, 0.000], [0.500, 0.328, 0.668], [0.000, 0.000, 0.405], [0.500, 0.254, 0.254], [0.500, 0.668, 0.328], [0.500, 0.748, 0.000]], "formation_enthalpy_0k_ev_per_atom": -0.92, "m_tot_mub_per_atom": 0.002, "crystal_system": "orthorhombic"}



[3]
{"formula": "Sr2TmReO6", "functional": "PBE", "state": "optimized geometry", "lattice": [[-2.236, -5.142, 1.176], [3.432, -4.612, 0.309], [1.048, -2.419, 5.127]], "species": ["Re", "O", "O", "O", "O", "O", "O", "Sr", "Sr", "Tm"], "frac_coords": [[0.000, 0.500, 0.000], [0.270, 0.209, 0.816], [0.839, 0.730, 0.688], [0.285, 0.692, 0.795], [0.715, 0.308, 0.205], [0.730, 0.791, 0.184], [0.161, 0.270, 0.312], [0.257, 0.749, 0.240], [0.743, 0.251, 0.760], [0.500, 0.000, 0.500]], "m_tot_mub_per_atom": 0.200, "crystal_system": "triclinic"}



[4]
{"formula": "CsHoPb", "functional": "PBE", "state": "optimized geometry", "lattice": [[2.786, 1.608, 4.549], [-2.786, 1.608, 4.549], [0.000, -3.217, 4.549]], "species": ["Ho", "Pb", "Cs"], "frac_coords": [[0.750, 0.750, 0.750], [0.250, 0.250, 0.250], [0.000, 0.000, 0.000]], "m_tot_mub_per_atom": 0.000, "crystal_system": "cubic"}



[5]
{"formula": "TaTlCoIr", "functional": "PBE", "state": "optimized geometry", "lattice": [[-4.330, -0.089, 1.360], [-3.003, 2.889, -1.798], [-3.227, -1.532, -2.800]], "species": ["Co", "Tl", "Ir", "Ta"], "frac_coords": [[0.750, 0.750, 0.750], [0.000, 0.000, 0.000], [0.500, 0.500, 0.500], [0.250, 0.250, 0.250]], "m_tot_mub_per_atom": 0.365, "crystal_system": "cubic"}



[6]
{"formula": "Y2TlAu2", "functional": "PBE", "state": "optimized geometry", "lattice": [[2.945, 0.747, -3.087], [-3.088, -0.313, -3.021], [-1.144, 6.735, 3.576]], "species": ["Au", "Y", "Tl", "Y", "Au"], "frac_coords": [[0.250, 0.750, 0.500], [0.616, 0.616, 0.232], [0.000, 0.000, 0.000], [0.384, 0.384, 0.768], [0.750, 0.250, 0.500]], "m_tot_mub_per_atom": 0.000, "crystal_system": "tetragonal"}



[7]
{"formula": "TbNdHg", "functional": "PBE", "state": "optimized geometry", "lattice": [[-2.001, -5.122, -4.842], [-1.802, -2.912, 3.824], [-8.392, 4.079, -0.848]], "species": ["Tb", "Hg", "Nd", "Tb", "Nd", "Hg", "Hg", "Tb", "Nd", "Hg", "Nd", "Tb"], "frac_coords": [[0.836, 0.750, 0.425], [0.752, 0.750, 0.104], [0.014, 0.250, 0.190], [0.164, 0.250, 0.575], [0.986, 0.750, 0.810], [0.252, 0.750, 0.396], [0.748, 0.250, 0.604], [0.664, 0.250, 0.925], [0.486, 0.750, 0.690], [0.248, 0.250, 0.896], [0.514, 0.250, 0.310], [0.336, 0.750, 0.075]], "formation_enthalpy_0k_ev_per_atom": -0.34, "m_tot_mub_per_atom": 0.001, "crystal_system": "orthorhombic"}



[8]
{"formula": "YHoGe4Pd2", "functional": "PBE", "state": "optimized geometry", "lattice": [[-1.752, 3.754, 1.387], [-6.683, -4.704, 4.290], [-3.838, -4.427, 7.133]], "species": ["Ge", "Y", "Ge", "Pd", "Ho", "Pd", "Ge", "Ge"], "frac_coords": [[0.500, 0.745, 0.745], [0.500, 0.104, 0.104], [0.500, 0.466, 0.466], [0.500, 0.332, 0.332], [0.000, 0.896, 0.896], [0.000, 0.669, 0.669], [0.000, 0.533, 0.533], [0.000, 0.256, 0.256]], "m_tot_mub_per_atom": 0.002, "crystal_system": "orthorhombic"}



[9]
{"formula": "NbTlPtS3", "functional": "PBE", "state": "optimized geometry", "lattice": [[-4.395, 3.906, -5.748], [-2.660, -2.308, 0.465], [-1.265, 3.275, 9.019]], "species": ["Nb", "S", "S", "Pt", "S", "S", "Nb", "S", "Tl", "S", "Tl", "Pt"], "frac_coords": [[0.537, 0.750, 0.328], [0.658, 0.750, 0.623], [0.769, 0.250, 0.380], [0.407, 0.750, 0.880], [0.231, 0.750, 0.620], [0.701, 0.250, 0.928], [0.463, 0.250, 0.672], [0.342, 0.250, 0.377], [0.972, 0.750, 0.198], [0.299, 0.750, 0.072], [0.028, 0.250, 0.802], [0.593, 0.250, 0.120]], "m_tot_mub_per_atom": 0.001, "crystal_system": "monoclinic"}



[10]
{"formula": "LiHfTe4Au3", "functional": "PBE", "state": "optimized geometry", "lattice": [[-5.747, -2.289, 1.776], [2.703, -5.655, 1.461], [1.041, 2.051, 6.011]], "species": ["Li", "Te", "Te", "Hf", "Au", "Au", "Te", "Te", "Au"], "frac_coords": [[0.500, 0.500, 0.500], [0.250, 0.250, 0.750], [0.750, 0.250, 0.250], [0.000, 0.000, 0.000], [0.000, 0.000, 0.500], [0.500, 0.000, 0.000], [0.250, 0.750, 0.250], [0.750, 0.750, 0.750], [0.000, 0.500, 0.000]], "m_tot_mub_per_atom": 0.001, "crystal_system": "cubic"}



[11]
{"formula": "CsNaAgAs", "functional": "PBE", "state": "optimized geometry", "lattice": [[6.362, 0.000, 0.000], [0.000, 4.053, 4.984], [0.000, -4.053, 4.984]], "species": ["Na", "As", "As", "Ag", "Na", "Cs", "Ag", "Cs"], "frac_coords": [[0.250, 0.661, 0.967], [0.250, 0.272, 0.763], [0.750, 0.763, 0.272], [0.500, 0.499, 0.499], [0.750, 0.967, 0.661], [0.750, 0.315, 0.025], [0.000, 0.499, 0.499], [0.250, 0.025, 0.315]], "crystal_system": "orthorhombic"}



[12]
{"formula": "CdSnSeO", "functional": "PBE", "state": "optimized geometry", "lattice": [[3.776, 0.000, 0.000], [-1.888, 3.270, 0.000], [0.000, 0.000, 13.643]], "species": ["Cd", "O", "Cd", "Sn", "O", "Sn", "Se", "Se"], "frac_coords": [[0.667, 0.333, 0.763], [0.000, 0.000, 0.823], [0.333, 0.667, 0.263], [0.000, 0.000, 0.983], [0.000, 0.000, 0.323], [0.000, 0.000, 0.483], [0.333, 0.667, 0.618], [0.667, 0.333, 0.118]], "crystal_system": "hexagonal"}



no.,final energy (eV per cell)
1,-14.00
2,-44.77
3,-76.50
4,-6.63
5,-28.50
6,-23.63
7,-42.85
8,-45.61
9,-69.25
10,-38.58
11,-21.60
12,-31.16